<A>
{"formula": "CuC", "functional": "PBE-GGA", "state": "relaxed", "cell": [[3.021, 0.000, 0.000], [-1.511, 2.617, 0.000], [0.000, 0.000, 2.436]], "species": ["Cu", "C"], "fractional_positions": [[0.000, 0.000, 0.000], [0.333, 0.667, 0.500]], "sg": "No. 187", "magnetic_moment_mub_per_fu": 0.00}

---

<B>
{"formula": "CuC", "functional": "PBE-GGA", "state": "relaxed", "cell": [[4.434, 0.000, 0.000], [-2.217, 3.840, 0.000], [0.000, 0.000, 3.419]], "species": ["Cu", "Cu", "Cu", "C", "C", "C"], "fractional_positions": [[0.000, 0.000, 0.000], [0.333, 0.667, 0.500], [0.667, 0.333, 0.500], [0.000, 0.500, 0.000], [0.500, 0.000, 0.000], [0.500, 0.500, 0.000]], "sg": "No. 191", "magnetic_moment_mub_per_fu": 0.00}

---

Least stable = <B>

---

<A>
{"formula": "Zn2InBr", "functional": "PBE-GGA", "state": "relaxed", "cell": [[4.613, 0.000, 0.000], [0.000, 4.522, 0.000], [-1.220, 0.000, 4.970]], "species": ["Zn", "Zn", "In", "Br"], "fractional_positions": [[0.000, 0.000, 0.000], [0.220, 0.500, 0.856], [0.821, 0.500, 0.309], [0.496, 0.000, 0.564]], "sg": "No. 6", "magnetic_moment_mub_per_fu": 0.00}

---

<B>
{"formula": "Zn2InBr", "functional": "PBE-GGA", "state": "relaxed", "cell": [[6.688, 0.000, 0.000], [0.000, 6.688, 0.000], [0.000, 0.000, 11.214]], "species": ["Zn", "Zn", "Zn", "Zn", "Zn", "Zn", "Zn", "Zn", "In", "In", "In", "In", "Br", "Br", "Br", "Br"], "fractional_positions": [[0.240, 0.250, 0.125], [0.250, 0.740, 0.375], [0.250, 0.760, 0.875], [0.260, 0.250, 0.625], [0.740, 0.750, 0.625], [0.750, 0.240, 0.875], [0.750, 0.260, 0.375], [0.760, 0.750, 0.125], [0.000, 0.000, 0.000], [0.000, 0.500, 0.250], [0.500, 0.000, 0.750], [0.500, 0.500, 0.500], [0.000, 0.000, 0.500], [0.000, 0.500, 0.750], [0.500, 0.000, 0.250], [0.500, 0.500, 0.000]], "sg": "No. 122", "magnetic_moment_mub_per_fu": 0.00}

---

Least stable = <B>